{
  "formula": "Pm2As4Pd5",
  "functional": "PBE",
  "state": "optimized geometry",
  "cell": [[0.000, 4.944, 7.607], [2.880, 0.000, 7.607], [2.880, 4.944, 0.000]],
  "species": ["Pm", "Pm", "As", "As", "As", "As", "Pd", "Pd", "Pd", "Pd", "Pd"],
  "fractional_positions": [[0.139, 0.139, 0.861], [0.861, 0.861, 0.139], [0.220, 0.519, 0.481], [0.481, 0.780, 0.220], [0.519, 0.220, 0.780], [0.780, 0.481, 0.519], [0.000, 0.000, 0.500], [0.250, 0.250, 0.250], [0.500, 0.500, 0.000], [0.500, 0.500, 0.500], [0.750, 0.750, 0.750]],
  "sg": "Fmmm",
  "e_form_mev_per_atom": -652,
  "dos_at_fermi_per_ev_cell": 5.3,
  "m_tot_mub_per_cell": 0.00
}


{
  "formula": "KTl2PbCl5",
  "functional": "PBE",
  "state": "optimized geometry",
  "cell": [[2.207, -9.220, 0.000], [2.207, 9.220, 0.000], [0.000, 0.000, 16.018]],
  "species": ["K", "K", "Tl", "Tl", "Tl", "Tl", "Pb", "Pb", "Cl", "Cl", "Cl", "Cl", "Cl", "Cl", "Cl", "Cl", "Cl", "Cl"],
  "fractional_positions": [[0.051, 0.949, 0.500], [0.949, 0.051, 0.000], [0.357, 0.643, 0.318], [0.435, 0.565, 0.716], [0.565, 0.435, 0.216], [0.643, 0.357, 0.818], [0.255, 0.745, 0.089], [0.745, 0.255, 0.589], [0.022, 0.978, 0.829], [0.100, 0.900, 0.081], [0.222, 0.778, 0.470], [0.253, 0.747, 0.714], [0.411, 0.589, 0.125], [0.589, 0.411, 0.625], [0.747, 0.253, 0.214], [0.778, 0.222, 0.970], [0.900, 0.100, 0.581], [0.978, 0.022, 0.329]],
  "formation_energy_uncorrected_mev_per_atom": -1257,
  "sg": "Cmc2_1",
  "dos_at_fermi_per_ev_cell": 0.0,
  "m_tot_mub_per_cell": 0.00
}